Density functional theory data (PBE) for crystalline LiCe2PmTe4 at its relaxed geometry.

abc: 7.7116 4.4449 7.7264
angles: 90.00 109.48 90.00
Sites, in units of the cell vectors:
1 Li 0.0000 0.0000 0.0000
2 Ce 0.0000 0.5000 0.5000
3 Ce 0.5000 0.0000 0.5000
4 Pm 0.5000 0.5000 0.0000
5 Te 0.2388 0.5000 0.2370
6 Te 0.2444 0.0000 0.7582
7 Te 0.7556 0.0000 0.2418
8 Te 0.7612 0.5000 0.7630

Properties
Total energy: -0.1915 hartree per atom
Raw formation energy: -1.325 eV/atom



Density functional theory data (PBE) for crystalline LiCe3Pm3Te8 at its relaxed geometry.

abc: 8.9278 8.9278 8.9278
angles: 59.79 59.79 59.79
Sites, in units of the cell vectors:
1 Li 0.0000 0.0000 0.0000
2 Ce 0.0000 0.5000 0.5000
3 Ce 0.5000 0.0000 0.5000
4 Ce 0.5000 0.5000 0.0000
5 Pm 0.0000 0.0000 0.5000
6 Pm 0.0000 0.5000 0.0000
7 Pm 0.5000 0.0000 0.0000
8 Te 0.2471 0.7523 0.7523
9 Te 0.2477 0.2477 0.7529
10 Te 0.2477 0.7529 0.2477
11 Te 0.2492 0.2492 0.2492
12 Te 0.7508 0.7508 0.7508
13 Te 0.7523 0.2471 0.7523
14 Te 0.7523 0.7523 0.2471
15 Te 0.7529 0.2477 0.2477

Properties
Total energy: -0.1946 hartree per atom
Raw formation energy: -1.356 eV/atom